1.
Entry from the Alexandria database: a relaxed structure of Na2CdIn (PBE-GGA).

Values from the calculation:
Density of states at the Fermi level ... 0.495 states/eV per atom
Energy ... -0.05967 Ha/atom

abc: 3.8076 3.8076 7.3733
angles: 90.00 90.00 90.00
Fractional coordinates of all 4 atoms:
Na1 0.0000 0.0000 0.7459
Na2 0.0000 0.0000 0.2541
Cd1 0.5000 0.5000 0.5000
In1 0.5000 0.5000 0.0000

=====

2.
Entry from the Alexandria database: a relaxed structure of NaCd4In2 (PBE-GGA).

Values from the calculation:
Density of states at the Fermi level ... 0.483 states/eV per atom
Energy ... -0.05479 Ha/atom

abc: 4.7691 8.8125 8.8125
angles: 90.00 90.00 90.00
Fractional coordinates of all 14 atoms:
Na1 0.5000 0.0000 0.0000
Na2 0.0000 0.5000 0.5000
Cd1 0.0000 0.0951 0.3457
Cd2 0.0000 0.9049 0.6543
Cd3 0.5000 0.1543 0.5951
Cd4 0.5000 0.8457 0.4049
Cd5 0.5000 0.4049 0.8457
Cd6 0.5000 0.5951 0.1543
Cd7 0.0000 0.3457 0.0951
Cd8 0.0000 0.6543 0.9049
In1 0.0000 0.2044 0.7956
In2 0.0000 0.7956 0.2044
In3 0.5000 0.7044 0.7044
In4 0.5000 0.2956 0.2956

=====

3.
Entry from the Alexandria database: a relaxed structure of NaCd9In2 (PBE-GGA).

Values from the calculation:
Density of states at the Fermi level ... 0.409 states/eV per atom
Energy ... -0.04556 Ha/atom

abc: 3.1399 10.3453 10.3453
angles: 120.00 90.00 90.00
Fractional coordinates of all 12 atoms:
Na1 0.0000 0.0000 0.0000
Cd1 0.5000 0.8303 0.1697
Cd2 0.0000 0.0000 0.5000
Cd3 0.0000 0.5000 0.5000
Cd4 0.5000 0.8303 0.6605
Cd5 0.5000 0.1697 0.8303
Cd6 0.5000 0.6605 0.8303
Cd7 0.5000 0.1697 0.3395
Cd8 0.0000 0.5000 0.0000
Cd9 0.5000 0.3395 0.1697
In1 0.0000 0.6667 0.3333
In2 0.0000 0.3333 0.6667

=====

4.
Entry from the Alexandria database: a relaxed structure of Na3Cd6In (PBE-GGA).

Values from the calculation:
Density of states at the Fermi level ... 0.311 states/eV per atom
Energy ... -0.04759 Ha/atom

abc: 5.2377 8.6637 11.3282
angles: 108.41 90.00 90.00
Fractional coordinates of all 20 atoms:
Na1 0.7500 0.8002 0.3647
Na2 0.2500 0.1998 0.6353
Na3 0.7500 0.4050 0.7661
Na4 0.2500 0.5950 0.2339
Na5 0.7500 0.1932 0.9662
Na6 0.2500 0.8068 0.0338
Cd1 0.7500 0.5947 0.0613
Cd2 0.2500 0.4053 0.9387
Cd3 0.7500 0.9982 0.1708
Cd4 0.2500 0.0018 0.8292
Cd5 0.7500 0.9916 0.6626
Cd6 0.2500 0.0084 0.3374
Cd7 0.7500 0.1903 0.4619
Cd8 0.2500 0.8097 0.5381
Cd9 0.7500 0.3860 0.2581
Cd10 0.2500 0.6140 0.7419
Cd11 0.7500 0.8017 0.8661
Cd12 0.2500 0.1983 0.1339
In1 0.7500 0.6023 0.5659
In2 0.2500 0.3977 0.4341

=====

Repeat the second record exactly.
Entry from the Alexandria database: a relaxed structure of NaCd4In2 (PBE-GGA).

Values from the calculation:
Density of states at the Fermi level ... 0.483 states/eV per atom
Energy ... -0.05479 Ha/atom

abc: 4.7691 8.8125 8.8125
angles: 90.00 90.00 90.00
Fractional coordinates of all 14 atoms:
Na1 0.5000 0.0000 0.0000
Na2 0.0000 0.5000 0.5000
Cd1 0.0000 0.0951 0.3457
Cd2 0.0000 0.9049 0.6543
Cd3 0.5000 0.1543 0.5951
Cd4 0.5000 0.8457 0.4049
Cd5 0.5000 0.4049 0.8457
Cd6 0.5000 0.5951 0.1543
Cd7 0.0000 0.3457 0.0951
Cd8 0.0000 0.6543 0.9049
In1 0.0000 0.2044 0.7956
In2 0.0000 0.7956 0.2044
In3 0.5000 0.7044 0.7044
In4 0.5000 0.2956 0.2956

=====

Q: What is the formula in the first record?
A: Na2CdIn

=====

Copy entry 2 word for word.
Entry from the Alexandria database: a relaxed structure of NaCd4In2 (PBE-GGA).

Values from the calculation:
Density of states at the Fermi level ... 0.483 states/eV per atom
Energy ... -0.05479 Ha/atom

abc: 4.7691 8.8125 8.8125
angles: 90.00 90.00 90.00
Fractional coordinates of all 14 atoms:
Na1 0.5000 0.0000 0.0000
Na2 0.0000 0.5000 0.5000
Cd1 0.0000 0.0951 0.3457
Cd2 0.0000 0.9049 0.6543
Cd3 0.5000 0.1543 0.5951
Cd4 0.5000 0.8457 0.4049
Cd5 0.5000 0.4049 0.8457
Cd6 0.5000 0.5951 0.1543
Cd7 0.0000 0.3457 0.0951
Cd8 0.0000 0.6543 0.9049
In1 0.0000 0.2044 0.7956
In2 0.0000 0.7956 0.2044
In3 0.5000 0.7044 0.7044
In4 0.5000 0.2956 0.2956